Entry 1:
Cr2SbAs | PBE | optimized geometry

a b c (Å): 4.6413 4.6413 3.4394
angles (deg): 97.35 97.35 96.73
Fractional coordinates of all 4 atoms:
Cr (0.0000, 0.5000, 0.0000)
Cr (0.5000, 0.0000, 0.0000)
Sb (0.0000, 0.0000, 0.5000)
As (0.5000, 0.5000, 0.5000)

Summary:
formation energy (no corrections)	32.64	kJ/mol of atoms
raw total energy	-26.665	eV/f.u.

=====

Entry 2:
Li2CdGa9 | PBE | optimized geometry

a b c (Å): 4.1341 4.1341 12.7694
angles (deg): 90.00 90.00 90.00
Fractional coordinates of all 12 atoms:
Li (0.0000, 0.0000, 0.1556)
Li (0.0000, 0.0000, 0.8444)
Cd (0.0000, 0.0000, 0.5000)
Ga (0.0000, 0.5000, 0.0000)
Ga (0.0000, 0.5000, 0.3196)
Ga (0.0000, 0.5000, 0.6804)
Ga (0.5000, 0.0000, 0.0000)
Ga (0.5000, 0.0000, 0.3196)
Ga (0.5000, 0.0000, 0.6804)
Ga (0.5000, 0.5000, 0.1584)
Ga (0.5000, 0.5000, 0.5000)
Ga (0.5000, 0.5000, 0.8416)

Summary:
formation energy from the elements	-91.4	meV/atom
raw total energy	-33.081	eV/f.u.

=====

Entry 3:
KGa2Ag | PBE | optimized geometry

a b c (Å): 5.0442 5.0442 5.0442
angles (deg): 60.00 60.00 60.00
Fractional coordinates of all 4 atoms:
K (0.0000, 0.0000, 0.0000)
Ga (0.2500, 0.2500, 0.2500)
Ga (0.7500, 0.7500, 0.7500)
Ag (0.5000, 0.5000, 0.5000)

Summary:
formation energy from the elements	193.4	meV/atom
raw total energy	-9.229	eV/f.u.

=====

Entry 4:
Al3Ni5 | PBE | optimized geometry

a b c (Å): 5.0095 5.0095 3.7585
angles (deg): 90.00 90.00 96.52
Fractional coordinates of all 8 atoms:
Al (0.0000, 0.0000, 0.0000)
Al (0.2798, 0.7202, 0.5000)
Al (0.7202, 0.2798, 0.5000)
Ni (0.0000, 0.5000, 0.0000)
Ni (0.2229, 0.2229, 0.5000)
Ni (0.5000, 0.0000, 0.0000)
Ni (0.5000, 0.5000, 0.0000)
Ni (0.7771, 0.7771, 0.5000)

Summary:
formation energy from the elements	-565.1	meV/atom
raw total energy	-44.655	eV/f.u.

=====

Entry 5:
Fe2CuHRu | PBE | optimized geometry

a b c (Å): 3.7415 3.7415 3.7669
angles (deg): 90.00 90.00 90.00
Fractional coordinates of all 5 atoms:
Fe (0.0000, 0.5000, 0.0000)
Fe (0.5000, 0.0000, 0.0000)
Cu (0.0000, 0.0000, 0.5000)
H (0.5000, 0.5000, 0.0000)
Ru (0.5000, 0.5000, 0.5000)

Summary:
raw total energy	-32.976	eV/f.u.

=====

Entry 6:
VTcOsRu2 | PBE | optimized geometry

a b c (Å): 4.6291 4.6291 4.6213
angles (deg): 90.00 90.00 90.00
Fractional coordinates of all 5 atoms:
V (0.0000, 0.0000, 0.0000)
Tc (0.5000, 0.5000, 0.0000)
Os (0.5000, 0.5000, 0.5000)
Ru (0.0000, 0.5000, 0.5000)
Ru (0.5000, 0.0000, 0.5000)

Summary:
formation energy from the elements	1899.1	meV/atom
raw total energy	-39.771	eV/f.u.

=====

Repeat the sixth record exactly.
VTcOsRu2 | PBE | optimized geometry

a b c (Å): 4.6291 4.6291 4.6213
angles (deg): 90.00 90.00 90.00
Fractional coordinates of all 5 atoms:
V (0.0000, 0.0000, 0.0000)
Tc (0.5000, 0.5000, 0.0000)
Os (0.5000, 0.5000, 0.5000)
Ru (0.0000, 0.5000, 0.5000)
Ru (0.5000, 0.0000, 0.5000)

Summary:
formation energy from the elements	1899.1	meV/atom
raw total energy	-39.771	eV/f.u.

=====

Which of these has the highest raw total energy?
KGa2Ag

=====

Number 4 is which compound?
Al3Ni5